Record 1
First-principles (PBE) data for an optimized crystal structure of ErPd4Pb3, as listed in OQMD.

- crystal system = monoclinic
- space-group type = No. 6

Cell: 5.7332 4.5103 6.5414 Å, 90.00 90.19 90.00°
Positions (direct):
Er 0.3654 0.0000 0.3226
Pb 0.8645 0.5000 0.1745
Pb 0.6217 0.5000 0.6688
Pb 0.1467 0.0000 0.8235
Pd 0.3469 0.5000 0.0468
Pd 0.8391 0.0000 0.4718
Pd 0.1545 0.5000 0.5303
Pd 0.6612 0.0000 0.9618



Record 2
First-principles (PBE) data for an optimized crystal structure of AgPbSO, as listed in OQMD.

- offset from the most stable computed form (meV/atom) = 137
- crystal system = orthorhombic
- space-group type = No. 19

Cell: 6.4218 7.9580 8.5863 Å, 90.00 90.00 90.00°
Positions (direct):
Ag 0.2449 0.7232 0.0239
Ag 0.7551 0.2232 0.4761
Ag 0.2551 0.2768 0.5239
Ag 0.7449 0.7768 0.9761
O 0.4816 0.2015 0.0922
O 0.5184 0.7015 0.4078
O 0.0184 0.7985 0.5923
O 0.9816 0.2985 0.9077
Pb 0.1494 0.1835 0.0949
Pb 0.8506 0.6835 0.4051
Pb 0.3506 0.8165 0.5949
Pb 0.6494 0.3165 0.9051
S 0.9865 0.8728 0.1672
S 0.0135 0.3728 0.3328
S 0.5135 0.1272 0.6672
S 0.4865 0.6272 0.8328



Record 3
First-principles (PBE) data for an optimized crystal structure of CdBi2, as listed in OQMD.

- offset from the most stable computed form (meV/atom) = 0
- crystal system = orthorhombic
- space-group type = No. 58

Cell: 7.9038 6.9753 3.3898 Å, 90.00 90.00 90.00°
Positions (direct):
Bi 0.1399 0.3475 0.0000
Bi 0.8601 0.6525 0.0000
Bi 0.6399 0.1525 0.5000
Bi 0.3601 0.8475 0.5000
Cd 0.5000 0.5000 0.0000
Cd 0.0000 0.0000 0.5000



| no. | E_tot (eV/atom) |
| --- | --- |
| 1 | -5.011 |
| 2 | -4.201 |
| 3 | -2.924 |